The following is a DFT calculation (GGA-PBEsol) of a relaxed structure of ZrIn2Te.

Properties
* ΔE_f (raw): -0.2229 eV per atom
* SG: No. 139

Cell: 4.197 4.197 6.059 Å, 110.26 110.26 90.00°
Fractional positions:
Zr1 0.500 0.500 0.000
Te1 0.000 0.000 0.000
In1 0.250 0.750 0.500
In2 0.750 0.250 0.500

***

The following is a DFT calculation (GGA-PBEsol) of a relaxed structure of Zr2InTe.

Properties
* ΔE_f (raw): -0.4383 eV per atom
* SG: No. 8
* polymorph energy (0 for the lowest one): 0.00 eV/f.u.

Cell: 3.430 4.972 5.633 Å, 102.35 107.73 90.00°
Fractional positions:
In1 0.503 0.428 0.006
Zr1 0.982 0.921 0.964
Te1 0.253 0.827 0.506
Zr2 0.762 0.325 0.524

***

The following is a DFT calculation (GGA-PBEsol) of a relaxed structure of Zr2InTe.

Properties
* ΔE_f (raw): -0.3686 eV per atom
* SG: No. 166
* polymorph energy (0 for the lowest one): 0.28 eV/f.u.

Cell: 3.462 3.462 9.100 Å, 79.03 79.03 60.00°
Fractional positions:
In1 0.500 0.500 0.500
Zr1 0.254 0.254 0.237
Zr2 0.746 0.746 0.763
Te1 0.000 0.000 0.000

***

The following is a DFT calculation (GGA-PBEsol) of a relaxed structure of Zr2InTe.

Properties
* ΔE_f (raw): -0.3432 eV per atom
* SG: No. 119
* polymorph energy (0 for the lowest one): 0.38 eV/f.u.

Cell: 4.232 4.232 5.723 Å, 111.70 111.70 90.00°
Fractional positions:
Zr1 0.750 0.250 0.500
In1 0.500 0.500 0.000
Te1 0.250 0.750 0.500
Zr2 0.000 0.000 0.000

***

The following is a DFT calculation (GGA-PBEsol) of a relaxed structure of Zr2InTe.

Properties
* ΔE_f (raw): -0.3714 eV per atom
* SG: No. 25
* polymorph energy (0 for the lowest one): 0.27 eV/f.u.

Cell: 3.613 4.565 5.736 Å, 90.00 90.00 90.00°
Fractional positions:
Zr1 0.125 0.126 0.000
In1 0.625 0.626 0.000
Zr2 0.625 0.624 0.500
Te1 0.125 0.124 0.500

***

The following is a DFT calculation (GGA-PBEsol) of a relaxed structure of Zr2InTe.

Properties
* ΔE_f (raw): -0.3299 eV per atom
* SG: No. 12
* polymorph energy (0 for the lowest one): 0.43 eV/f.u.

Cell: 3.476 5.129 5.465 Å, 100.88 90.00 109.81°
Fractional positions:
Zr1 0.747 0.494 0.744
Zr2 0.253 0.506 0.256
In1 0.500 0.000 0.000
Te1 0.000 0.000 0.500

***

The following is a DFT calculation (GGA-PBEsol) of a relaxed structure of Ti8In5.

Properties
* SG: No. 215
* energy of formation: -14.88 kJ per mole of atoms

Cell: 9.847 9.847 9.847 Å, 90.00 90.00 90.00°
Fractional positions:
In1 0.351 0.649 0.351
Ti1 0.171 0.171 0.829
In2 0.341 0.341 0.341
In3 0.309 0.309 0.027
Ti2 0.097 0.903 0.903
Ti3 0.139 0.500 0.500
Ti4 0.481 0.169 0.831
Ti5 0.000 0.000 0.358
Ti6 0.500 0.500 0.139
Ti7 0.171 0.829 0.171
In4 0.659 0.659 0.341
Ti8 0.169 0.481 0.831
Ti9 0.903 0.903 0.097
In5 0.027 0.309 0.309
Ti10 0.000 0.358 0.000
Ti11 0.829 0.829 0.829
Ti12 0.169 0.519 0.169
In6 0.691 0.691 0.027
Ti13 0.829 0.171 0.171
In7 0.691 0.973 0.309
In8 0.973 0.309 0.691
Ti14 0.519 0.169 0.169
Ti15 0.000 0.642 0.000
In9 0.659 0.341 0.659
Ti16 0.481 0.831 0.169
In10 0.027 0.691 0.691
In11 0.973 0.691 0.309
In12 0.351 0.351 0.649
Ti17 0.519 0.831 0.831
In13 0.649 0.351 0.351
Ti18 0.831 0.481 0.169
Ti19 0.000 0.000 0.642
Ti20 0.169 0.169 0.519
Ti21 0.358 0.000 0.000
Ti22 0.831 0.519 0.831
Ti23 0.169 0.831 0.481
Ti24 0.500 0.139 0.500
In14 0.649 0.649 0.649
In15 0.309 0.027 0.309
In16 0.691 0.309 0.973
In17 0.341 0.659 0.659
Ti25 0.831 0.169 0.481
In18 0.691 0.027 0.691
In19 0.309 0.691 0.973
Ti26 0.500 0.861 0.500
In20 0.309 0.973 0.691
Ti27 0.831 0.831 0.519
Ti28 0.097 0.097 0.097
Ti29 0.903 0.097 0.903
Ti30 0.642 0.000 0.000
Ti31 0.861 0.500 0.500
Ti32 0.500 0.500 0.861

***

The following is a DFT calculation (GGA-PBEsol) of a relaxed structure of YTi2TlIn.

Properties
* SG: No. 123
* energy of formation: 74.81 kJ per mole of atoms

Cell: 5.050 5.050 5.478 Å, 90.00 90.00 90.00°
Last column: magnetic moment on the atom in μB.
Fractional positions:
In1 0.500 0.500 0.500  -0.04
Ti1 0.500 0.000 0.000  0.46
Ti2 0.000 0.500 0.000  0.46
Tl1 0.000 0.000 0.000  -0.01
Y1 0.000 0.000 0.500  -0.03